Zr2V2Zn | PBE | optimized geometry

a = 6.8065 Å, b = 6.8065 Å, c = 3.8661 Å
α = 90.00°, β = 90.00°, γ = 90.00°
With the nearest neighbours (Å) after each atom.
Fractional coordinates of all 10 atoms:
Zr1 0.6757 0.8243 0.5000  6 V 2.74-2.83
Zr2 0.1757 0.6757 0.5000  6 V 2.74-2.83
Zr3 0.8243 0.3243 0.5000  6 V 2.74-2.83
Zr4 0.3243 0.1757 0.5000  6 V 2.74-2.83
V1 0.8770 0.6230 0.0000  1 V 2.37
V2 0.6230 0.1230 0.0000  1 V 2.37
V3 0.1230 0.3770 0.0000  1 V 2.37
V4 0.3770 0.8770 0.0000  1 V 2.37
Zn1 0.5000 0.5000 0.0000  4 V 2.70
Zn2 0.0000 0.0000 0.0000  4 V 2.70

Computed properties:
* total DFT energy (no corrections): -7.25 eV per atom
* space-group type: No. 127
* total magnetization: 0.00 μB/f.u.
* energy above the most stable polymorph in this dataset: 0 meV per atom
* DFT formation energy: 0.070 eV per atom

***

MgTlRe2 | PBE | optimized geometry

a = 5.3402 Å, b = 5.3402 Å, c = 5.3402 Å
α = 137.27°, β = 137.27°, γ = 62.02°
With the nearest neighbours (Å) after each atom.
Fractional coordinates of all 4 atoms:
Re1 0.0000 0.0000 0.0000  4 Re 2.75, 4 Tl 3.00, 4 Mg 3.00
Re2 0.5000 0.5000 0.0000  4 Re 2.75, 4 Mg 3.00, 4 Tl 3.00
Mg1 0.7500 0.2500 0.5000  4 Tl 2.75, 8 Re 3.00
Tl1 0.2500 0.7500 0.5000  4 Mg 2.75, 8 Re 3.00

Computed properties:
* total DFT energy (no corrections): -6.40 eV per atom
* space-group type: No. 139
* total magnetization: 0.00 μB/f.u.
* energy above the most stable polymorph in this dataset: 525 meV per atom
* DFT formation energy: 0.814 eV per atom

***

LaPm2Mg2In2 | PBE | optimized geometry

a = 5.0704 Å, b = 5.0704 Å, c = 9.5551 Å
α = 74.61°, β = 74.61°, γ = 60.00°
With the nearest neighbours (Å) after each atom.
Fractional coordinates of all 7 atoms:
In1 0.2617 0.2617 0.2148  3 Mg 2.93
In2 0.7383 0.7383 0.7852  3 Mg 2.93
Pm1 0.8696 0.8696 0.3911  3 Mg 3.34, 4 In 3.34-3.58, 3 Pm 3.53, 1 La 3.56
Pm2 0.1304 0.1304 0.6089  3 Mg 3.34, 4 In 3.34-3.58, 3 Pm 3.53, 1 La 3.56
La1 0.0000 0.0000 0.0000  6 In 3.52, 6 Mg 3.52, 2 Pm 3.56
Mg1 0.5949 0.5949 0.2153  3 In 2.93
Mg2 0.4051 0.4051 0.7847  3 In 2.93

Computed properties:
* total DFT energy (no corrections): -3.57 eV per atom
* space-group type: No. 166
* total magnetization: 0.00 μB/f.u.
* DFT formation energy: -0.271 eV per atom